## Y8CS3 (GGA-PBE)

Data for a relaxed structure of Y8CS3.

## Properties
Formation energy without anion corrections = -1.0805 eV/atom
V = 305.2 Å³/f.u.
Theoretical density = 4.46 g/cm³
DFT total energy = -7.19 eV per atom

```
data_Y8CS3
_chemical_formula_sum 'Y8 C1 S3'
_symmetry_space_group_name_H-M 'P 1'
_symmetry_Int_Tables_number 1
_cell_length_a 7.603
_cell_length_b 7.601
_cell_length_c 7.513
_cell_angle_alpha 120.38
_cell_angle_beta 90.00
_cell_angle_gamma 120.01
loop_
_symmetry_equiv_pos_as_xyz
'x,y,z'
loop_
_atom_site_label
_atom_site_type_symbol
_atom_site_fract_x
_atom_site_fract_y
_atom_site_fract_z
_atom_site_occupancy
Y1 Y 0.248 0.496 0.744 1
Y2 Y 0.752 0.504 0.256 1
Y3 Y 0.222 0.989 0.755 1
Y4 Y 0.766 0.989 0.755 1
Y5 Y 0.766 0.533 0.755 1
Y6 Y 0.234 0.467 0.245 1
Y7 Y 0.234 0.011 0.245 1
Y8 Y 0.778 0.011 0.245 1
C1 C 0.000 0.000 0.000 1
S1 S 0.500 0.000 0.000 1
S2 S 0.500 0.500 0.000 1
S3 S 0.000 0.500 0.000 1
```